# 1
Compound: FeN2Cl2
Source: Alexandria
Functional: PBE
Structure: relaxed

Summary:
Fermi-level density of states in states/eV per atom: 0.95
Raw formation energy in eV/atom: 0.980
Offset from the most stable computed form in meV per atom: 1399
Size of the total moment in μB/f.u.: 0.0

Cell and atoms, written as CIF:
```
data_FeN2Cl2
_chemical_formula_sum 'Fe1 N2 Cl2'
_space_group_name_H-M_alt 'P 4/m m m'
_space_group_IT_number 123
_space_group_name_Hall '-P 4 2'
_cell_length_a 3.538
_cell_length_b 3.538
_cell_length_c 8.236
_cell_angle_alpha 90.00
_cell_angle_beta 90.00
_cell_angle_gamma 90.00
loop_
_atom_site_label
_atom_site_type_symbol
_atom_site_fract_x
_atom_site_fract_y
_atom_site_fract_z
_atom_site_occupancy
Fe1 Fe 0.000 0.000 0.000 1
N1 N 0.000 0.500 0.000 1
Cl1 Cl 0.000 0.500 0.500 1
```

---

# 2
Compound: S6Cl2O
Source: Alexandria
Functional: PBE
Structure: relaxed

Summary:
Raw formation energy in eV/atom: -0.033
Size of the total moment in μB/f.u.: 2.0

Cell and atoms, written as CIF:
```
data_S6Cl2O
_chemical_formula_sum 'S24 Cl8 O4'
_space_group_name_H-M_alt 'C 1 2/c 1'
_space_group_IT_number 15
_space_group_name_Hall '-C 2yc'
_cell_length_a 14.706
_cell_length_b 13.097
_cell_length_c 7.633
_cell_angle_alpha 90.00
_cell_angle_beta 113.89
_cell_angle_gamma 90.00
loop_
_atom_site_label
_atom_site_type_symbol
_atom_site_fract_x
_atom_site_fract_y
_atom_site_fract_z
_atom_site_occupancy
S1 S 0.002 0.161 0.442 1
S2 S 0.062 0.425 0.859 1
S3 S 0.131 0.181 0.650 1
Cl1 Cl 0.234 0.069 0.642 1
O1 O 0.000 0.231 0.250 1
```